First-principles (PBE) data for a geometry-optimized LaPrRuAu structure, as listed in Alexandria.

Computed properties:
formation enthalpy at 0 K: -1.68 eV per formula unit
DOS at the Fermi energy: 2.350 states/eV/cell
crystal system: cubic

Cell: 5.1676 5.1676 5.1676 Å, 60.00 60.00 60.00°
Last column: nearest neighbours and their distance in Å.
Atoms (fractional coordinates):
Pr (0.0000, 0.0000, 0.0000)  4 Ru 3.16, 4 Au 3.16
Ru (0.7500, 0.7500, 0.7500)  4 La 3.16, 4 Pr 3.16
Au (0.2500, 0.2500, 0.2500)  4 Pr 3.16, 4 La 3.16
La (0.5000, 0.5000, 0.5000)  4 Au 3.16, 4 Ru 3.16

***

First-principles (PBE) data for a geometry-optimized BaMgSiRh structure, as listed in Alexandria.

Computed properties:
E_form (uncorrected): -0.509 eV per atom
DOS at the Fermi energy: 4.701 states/eV/cell
crystal system: tetragonal

Cell: 4.1479 4.1479 12.7844 Å, 90.00 90.00 90.00°
Last column: nearest neighbours and their distance in Å.
Atoms (fractional coordinates):
Ba (0.7500, 0.7500, 0.2308)  4 Si 3.42, 4 Rh 3.61
Ba (0.2500, 0.2500, 0.7692)  4 Si 3.42, 4 Rh 3.61
Mg (0.2500, 0.7500, 0.5000)  4 Mg 2.93
Mg (0.7500, 0.2500, 0.5000)  4 Mg 2.93
Si (0.7500, 0.7500, 0.9062)  4 Rh 2.40
Si (0.2500, 0.2500, 0.0938)  4 Rh 2.40
Rh (0.7500, 0.2500, 0.0000)  4 Si 2.40
Rh (0.2500, 0.7500, 0.0000)  4 Si 2.40

***

First-principles (PBE) data for a geometry-optimized Th6Ge4Sb structure, as listed in Alexandria.

Computed properties:
E_form (uncorrected): -0.673 eV per atom
DOS at the Fermi energy: 16.294 states/eV/cell
crystal system: orthorhombic

Cell: 4.2836 7.3731 21.7266 Å, 90.00 90.00 106.89°
Last column: nearest neighbours and their distance in Å.
Atoms (fractional coordinates):
Th (0.5000, 0.0000, 0.0000)  6 Ge 3.00-3.03
Th (0.5000, 0.0000, 0.5000)  6 Ge 3.00-3.03
Th (0.0462, 0.0925, 0.3376)  3 Ge 2.94-2.98
Th (0.9538, 0.9075, 0.6624)  3 Ge 2.94-2.98
Th (0.9538, 0.9075, 0.8376)  3 Ge 2.94-2.98
Th (0.0462, 0.0925, 0.1624)  3 Ge 2.94-2.98
Th (0.7729, 0.5458, 0.4158)  5 Ge 2.99-3.03
Th (0.2271, 0.4542, 0.5842)  5 Ge 2.99-3.03
Th (0.2271, 0.4542, 0.9158)  5 Ge 2.99-3.03
Th (0.7729, 0.5458, 0.0842)  5 Ge 2.99-3.03
Th (0.3370, 0.6740, 0.2500)  2 Ge 2.90, 2 Sb 3.21
Th (0.6630, 0.3260, 0.7500)  2 Ge 2.90, 2 Sb 3.21
Ge (0.8619, 0.7238, 0.5409)  6 Th 2.94-3.03
Ge (0.4107, 0.8214, 0.1252)  6 Th 2.90-3.03
Ge (0.1381, 0.2762, 0.4591)  6 Th 2.94-3.03
Ge (0.5893, 0.1786, 0.8748)  6 Th 2.90-3.03
Ge (0.8619, 0.7238, 0.9591)  6 Th 2.94-3.03
Ge (0.1381, 0.2762, 0.0409)  6 Th 2.94-3.03
Ge (0.5893, 0.1786, 0.6252)  6 Th 2.90-3.03
Ge (0.4107, 0.8214, 0.3748)  6 Th 2.90-3.03
Sb (0.6680, 0.3359, 0.2500)  6 Th 3.21-3.34
Sb (0.3320, 0.6641, 0.7500)  6 Th 3.21-3.34

***

Among the records above, which one has the highest DOS at the Fermi energy? Th6Ge4Sb